# 1
First-principles (PBEsol) data for an optimized crystal structure of CaHg2, as listed in Alexandria via LeMat-Bulk.

```
CaHg2
1.0
3.503 0.000 0.000
0.000 4.895 0.000
0.000 -2.448 4.239
Hg Ca
2 1
Direct
0.500 0.667 0.333
0.500 0.333 0.667
0.000 0.000 0.000
```

Output
E_form   -0.546 eV/atom
Size of the total moment   0.00 μB/f.u.



# 2
First-principles (PBEsol) data for an optimized crystal structure of ZnBP2PbO9, as listed in Alexandria via LeMat-Bulk.

```
ZnBP2PbO9
1.0
-2.907 3.099 3.060
0.953 -5.173 6.199
5.696 4.899 3.090
O P B Zn Pb
18 4 2 2 2
Direct
0.078 0.124 0.360
0.306 0.199 0.560
0.710 0.608 0.650
0.103 0.901 0.147
0.694 0.801 0.440
0.795 0.799 0.939
0.524 0.036 0.189
0.463 0.635 0.190
0.994 0.444 0.817
0.290 0.392 0.350
0.205 0.201 0.061
0.897 0.099 0.853
0.114 0.667 0.458
0.537 0.365 0.810
0.886 0.333 0.542
0.922 0.876 0.640
0.006 0.556 0.183
0.476 0.964 0.811
0.211 0.566 0.295
0.766 0.940 0.816
0.789 0.434 0.705
0.234 0.060 0.184
0.139 0.267 0.459
0.861 0.733 0.541
0.282 0.178 0.800
0.718 0.822 0.200
0.251 0.687 0.915
0.749 0.313 0.085
```

Output
Raw formation energy   -184 kJ/mol of atoms
Size of the total moment   1.04 μB/f.u.



# 3
First-principles (PBEsol) data for an optimized crystal structure of AlRe2Tc, as listed in Alexandria via LeMat-Bulk.

```
AlRe2Tc
1.0
2.959 0.000 0.000
0.000 4.379 0.000
0.000 0.000 4.379
Tc Re Al
1 2 1
Direct
0.500 0.500 0.500
0.000 0.500 0.000
0.000 0.000 0.500
0.500 0.000 0.000
```

Output
E_form   0.082 eV/atom
Size of the total moment   0.00 μB/f.u.



# 4
First-principles (PBEsol) data for an optimized crystal structure of K2BeSb, as listed in Alexandria via LeMat-Bulk.

```
K2BeSb
1.0
-0.595 0.642 -3.240
-2.207 -2.527 -0.096
-7.551 6.492 2.675
Sb Be K
1 1 2
Direct
0.500 0.500 0.000
0.500 0.500 0.500
0.000 0.000 0.743
0.000 0.000 0.257
```

Output
Polymorph energy (0 for the lowest one)   0.445 eV per atom
Raw formation energy   44 kJ/mol of atoms
Size of the total moment   0.00 μB/f.u.